[1]
## CaYBeZn (PBE-GGA)

Data for CaYBeZn after structural relaxation.

Cell and atoms, written as POSCAR:
```
CaYBeZn
1.0
5.003 0.000 0.000
2.501 4.332 0.000
2.501 1.444 4.085
Zn Y Be Ca
1 1 1 1
direct
0.000 0.000 0.000
0.250 0.250 0.250
0.500 0.500 0.500
0.750 0.750 0.750
```

Calculated values
- Energy relative to the elements: -14 meV per atom
- E_tot: -3.3804 eV per atom


[2]
## Ca2BeZn2 (PBE-GGA)

Data for Ca2BeZn2 after structural relaxation.

Cell and atoms, written as POSCAR:
```
Ca2BeZn2
1.0
6.920 0.000 0.000
0.000 6.920 0.000
0.000 0.000 4.649
Ca Zn Be
4 4 2
direct
0.819 0.319 0.500
0.181 0.681 0.500
0.319 0.181 0.500
0.681 0.819 0.500
0.869 0.631 0.000
0.131 0.369 0.000
0.369 0.869 0.000
0.631 0.131 0.000
0.500 0.500 0.000
0.000 0.000 0.000
```

Calculated values
- Energy relative to the elements: 72 meV per atom
- E_tot: -1.9830 eV per atom


Number 1: M_tot 0.00 μB per cell. Number 2: M_tot 0.00 μB per cell.